Computed, not measured: crystalline Cs2RhC2 at its relaxed geometry at the PBE-GGA level of DFT.

The structure belongs to space group P4/mbm (No. 127); the cell edges are 8.2126, 8.2126 and 4.2003 Å and the angles 90.00°, 90.00° and 90.00°. Symmetry generates all atoms from Cs at (0.2245, 0.2755, 0.0000), Rh at (0.0000, 0.0000, 0.0000) and C at (0.0546, 0.5546, 0.5000).

The energy relative to the elements comes out at 1.23 eV/atom.